Record 1
9
Lattice="6.572 -2.224 0.000 6.572 2.224 0.000 -4.243 0.000 8.515" Properties=species:S:1:pos:R:3 comment="Ac3Mg2Au4, relaxed, DFT GGA-PBE" volume_a3_per_atom=27.7 dos_at_fermi_per_ev_atom=0.6271 total_magnetization_mub_per_fu=0.00 e_form_ev_per_fu=-6.4 pbc="T T T"
Ac 0.000 0.000 0.000
Ac 3.659 0.000 2.525
Ac 5.242 0.000 5.990
Mg 1.476 0.000 5.486
Mg 7.425 0.000 3.030
Au -0.679 0.000 3.499
Au 0.007 0.000 7.900
Au 8.894 0.000 0.615
Au 9.581 0.000 5.017


Record 2
6
Lattice="2.978 0.000 0.000 0.000 3.995 0.000 0.000 0.000 10.118" Properties=species:S:1:pos:R:3 comment="InReBr, relaxed, DFT GGA-PBE" volume_a3_per_atom=20.1 dos_at_fermi_per_ev_atom=1.0574 total_magnetization_mub_per_fu=0.20 e_form_raw_mev_per_atom=1046 pbc="T T T"
In 0.000 0.000 0.000
In 1.489 1.997 5.059
Re 0.000 0.000 7.024
Re 1.489 1.997 1.965
Br 0.000 0.000 2.935
Br 1.489 1.997 7.994


Record 3
4
Lattice="2.874 0.000 0.000 0.000 3.656 0.000 0.000 0.000 6.072" Properties=species:S:1:pos:R:3 comment="CrOsAu2, relaxed, DFT GGA-PBE" volume_a3_per_atom=16.0 dos_at_fermi_per_ev_atom=0.6716 total_magnetization_mub_per_fu=1.80 e_form_ev_per_fu=1.2 pbc="T T T"
Cr 0.000 0.000 0.000
Os 1.437 1.828 1.092
Au 0.000 0.000 2.755
Au 1.437 1.828 4.424